A geometry-optimized Al2AgI structure. Source: Alexandria, functional PBE.

Cell: 5.2068 5.2068 5.2068 Å, 60.00 60.00 60.00°
Fractional positions:
Al1 0.2500 0.2500 0.2500
Al2 0.7500 0.7500 0.7500
Ag1 0.0000 0.0000 0.0000
I1 0.5000 0.5000 0.5000

Formation energy without anion corrections (eV/f.u.): 2.01
Distance to the lowest polymorph of the same formula (meV/atom): 184
Raw total energy (eV per atom): -2.4682
Symmetry: Fm-3m (225)